1.
VASP calculation (PBE) on a relaxed K2LiScCl6 crystal. Values from VASP.

Summary:
energy above the most stable polymorph in this dataset: 0.009 eV per atom
M_tot: 0.000 μB/atom
DOS(E_F): 0.0 states/eV/cell
crystal system: cubic
E: -4.165 eV per atom
calculated density: 2.20 g cm⁻³
space group: Fm-3m
formation energy without anion corrections: -2.0126 eV/atom

Geometry as Quantum ESPRESSO input:
```
&SYSTEM
  ibrav = 0, nat = 10, ntyp = 4
/
ATOMIC_SPECIES
Cl 35.45 Cl.upf
Sc 44.96 Sc.upf
K 39.10 K.upf
Li 6.94 Li.upf
CELL_PARAMETERS angstrom
-0.955 -4.673 5.330
5.591 -3.581 2.662
2.422 1.512 6.558
ATOMIC_POSITIONS angstrom
Cl 4.090 -5.848 7.639
Cl 1.254 -4.031 6.289
Cl 5.803 -2.710 8.262
Cl 2.967 -0.894 6.912
Cl 4.574 -3.477 4.935
Cl 2.482 -3.264 9.615
Sc 0.000 0.000 0.000
K 1.764 -1.685 3.638
K 5.293 -5.056 10.913
Li 3.528 -3.371 7.275
```

2.
VASP calculation (PBE) on a relaxed Ca2YW2 crystal. Values from VASP.

Summary:
energy above the most stable polymorph in this dataset: 0.000 eV per atom
M_tot: 0.000 μB/atom
DOS(E_F): 10.3 states/eV/cell
crystal system: tetragonal
E: -6.377 eV per atom
calculated density: 7.01 g cm⁻³
space group: P4/mbm

Geometry as Quantum ESPRESSO input:
```
&SYSTEM
  ibrav = 0, nat = 10, ntyp = 3
/
ATOMIC_SPECIES
Ca 40.08 Ca.upf
W 183.84 W.upf
Y 88.91 Y.upf
CELL_PARAMETERS angstrom
-1.954 7.823 3.530
-5.044 1.883 -6.964
-2.591 -1.331 1.516
ATOMIC_POSITIONS angstrom
Ca -5.175 2.160 -3.390
Ca -2.872 2.093 0.486
Ca -4.413 6.215 1.473
Ca -6.716 6.282 -2.403
W -4.767 8.205 -0.941
W -2.231 1.501 -2.493
W -5.361 4.879 -4.875
W -1.637 4.827 1.441
Y 0.000 0.000 0.000
Y -3.499 4.853 -1.717
```